Version a
Density functional theory data (PBE) for a geometry-optimized HfMoRh2 structure.

abc: 4.524 4.524 4.524
angles: 60.00 60.00 60.00
Sites, in units of the cell vectors:
Hf1 0.000 0.000 0.000
Mo1 0.500 0.500 0.500
Rh1 0.250 0.250 0.250
Rh2 0.750 0.750 0.750

***

Version b
Density functional theory data (PBE) for a geometry-optimized HfMoRh2 structure.

abc: 9.167 9.167 9.167
angles: 154.45 154.45 36.44
Sites, in units of the cell vectors:
Hf1 0.000 0.000 0.000
Hf2 0.750 0.250 0.500
Mo1 0.250 0.750 0.500
Mo2 0.500 0.500 0.000
Rh1 0.139 0.625 0.014
Rh2 0.375 0.389 0.514
Rh3 0.611 0.125 0.986
Rh4 0.875 0.861 0.486

***

Stability ranking, top entry: version a; the second entry is 417 meV/atom less favorable.

***

Version a
Density functional theory data (PBE) for a geometry-optimized Hf2MoRh structure.

abc: 4.639 4.639 4.639
angles: 60.00 60.00 60.00
Sites, in units of the cell vectors:
Hf1 0.250 0.250 0.250
Hf2 0.750 0.750 0.750
Mo1 0.000 0.000 0.000
Rh1 0.500 0.500 0.500

***

Version b
Density functional theory data (PBE) for a geometry-optimized Hf2MoRh structure.

abc: 3.292 3.292 6.587
angles: 90.00 90.00 90.00
Sites, in units of the cell vectors:
Hf1 0.000 0.000 0.249
Hf2 0.000 0.000 0.751
Mo1 0.500 0.500 0.000
Rh1 0.500 0.500 0.500

***

Stability ranking, top entry: version b; the second entry is 21 meV/atom less favorable.

***

Version a
Density functional theory data (PBE) for a geometry-optimized Hf4MoRh structure.

abc: 4.549 4.549 6.409
angles: 90.00 90.00 90.00
Sites, in units of the cell vectors:
Hf1 0.000 0.500 0.249
Hf2 0.000 0.500 0.751
Hf3 0.500 0.000 0.249
Hf4 0.500 0.000 0.751
Mo1 0.000 0.000 0.000
Rh1 0.500 0.500 0.500

***

Version b
Density functional theory data (PBE) for a geometry-optimized Hf4MoRh structure.

abc: 3.341 3.341 10.331
angles: 90.00 90.00 90.00
Sites, in units of the cell vectors:
Hf1 0.000 0.000 0.153
Hf2 0.000 0.000 0.847
Hf3 0.500 0.500 0.347
Hf4 0.500 0.500 0.653
Mo1 0.000 0.000 0.500
Rh1 0.500 0.500 0.000

***

Stability ranking, top entry: version b; the second entry is 264 meV/atom less favorable.

***

Version a
Density functional theory data (PBE) for a geometry-optimized HfZrMoRh structure.

abc: 3.307 3.307 6.621
angles: 90.00 90.00 90.00
Sites, in units of the cell vectors:
Hf1 0.000 0.000 0.000
Zr1 0.000 0.000 0.502
Mo1 0.500 0.500 0.752
Rh1 0.500 0.500 0.246

***

Version b
Density functional theory data (PBE) for a geometry-optimized HfZrMoRh structure.

abc: 4.661 4.661 4.661
angles: 60.00 60.00 60.00
Sites, in units of the cell vectors:
Hf1 0.000 0.000 0.000
Zr1 0.500 0.500 0.500
Mo1 0.250 0.250 0.250
Rh1 0.750 0.750 0.750

***

Stability ranking, top entry: version a; the second entry is 18 meV/atom less favorable.

***

Version a
Density functional theory data (PBE) for a geometry-optimized HfMo3Ru structure.

abc: 4.678 4.678 4.678
angles: 90.00 90.00 90.00
Sites, in units of the cell vectors:
Hf1 0.000 0.000 0.000
Mo1 0.000 0.500 0.500
Mo2 0.500 0.000 0.500
Mo3 0.500 0.500 0.000
Ru1 0.500 0.500 0.500

***

Version b
Density functional theory data (PBE) for a geometry-optimized HfMo3Ru structure.

abc: 4.691 4.691 4.691
angles: 90.00 90.00 90.00
Sites, in units of the cell vectors:
Hf1 0.000 0.000 0.000
Mo1 0.000 0.000 0.500
Mo2 0.000 0.500 0.000
Mo3 0.500 0.000 0.000
Ru1 0.500 0.500 0.500

***

Stability ranking, top entry: version a; the second entry is 1043 meV/atom less favorable.

***

Version a
Density functional theory data (PBE) for a geometry-optimized Hf3MoS structure.

abc: 5.017 5.017 5.017
angles: 90.00 90.00 90.00
Sites, in units of the cell vectors:
Hf1 0.000 0.000 0.500
Hf2 0.000 0.500 0.000
Hf3 0.500 0.000 0.000
Mo1 0.000 0.000 0.000
S1 0.500 0.500 0.500

***

Version b
Density functional theory data (PBE) for a geometry-optimized Hf3MoS structure.

abc: 4.701 4.701 4.701
angles: 90.00 90.00 90.00
Sites, in units of the cell vectors:
Hf1 0.000 0.000 0.500
Hf2 0.000 0.500 0.000
Hf3 0.500 0.000 0.000
Mo1 0.500 0.500 0.500
S1 0.000 0.000 0.000

***

Stability ranking, top entry: version b; the second entry is 884 meV/atom less favorable.

***

Version a
Density functional theory data (PBE) for a geometry-optimized HfMo3S structure.

abc: 4.460 4.460 4.460
angles: 90.00 90.00 90.00
Sites, in units of the cell vectors:
Hf1 0.000 0.000 0.000
Mo1 0.000 0.500 0.500
Mo2 0.500 0.000 0.500
Mo3 0.500 0.500 0.000
S1 0.500 0.500 0.500

***

Version b
Density functional theory data (PBE) for a geometry-optimized HfMo3S structure.

abc: 4.820 4.820 4.820
angles: 90.00 90.00 90.00
Sites, in units of the cell vectors:
Hf1 0.000 0.000 0.000
Mo1 0.000 0.000 0.500
Mo2 0.000 0.500 0.000
Mo3 0.500 0.000 0.000
S1 0.500 0.500 0.500

***

Stability ranking, top entry: version a; the second entry is 2067 meV/atom less favorable.

***

Version a
Density functional theory data (PBE) for a geometry-optimized HfSbMo3 structure.

abc: 4.836 4.836 4.836
angles: 90.00 90.00 90.00
Sites, in units of the cell vectors:
Hf1 0.000 0.000 0.000
Sb1 0.500 0.500 0.500
Mo1 0.000 0.000 0.500
Mo2 0.000 0.500 0.000
Mo3 0.500 0.000 0.000

***

Version b
Density functional theory data (PBE) for a geometry-optimized HfSbMo3 structure.

abc: 4.850 4.850 4.850
angles: 90.00 90.00 90.00
Sites, in units of the cell vectors:
Hf1 0.000 0.000 0.000
Sb1 0.500 0.500 0.500
Mo1 0.000 0.500 0.500
Mo2 0.500 0.000 0.500
Mo3 0.500 0.500 0.000

***

Stability ranking, top entry: version b; the second entry is 204 meV/atom less favorable.

***

Version a
Density functional theory data (PBE) for a geometry-optimized HfScMo2 structure.

abc: 5.912 5.912 5.912
angles: 103.63 103.63 121.91
Sites, in units of the cell vectors:
Hf1 0.000 0.000 0.000
Hf2 0.750 0.250 0.500
Sc1 0.250 0.750 0.500
Sc2 0.500 0.500 0.000
Mo1 0.126 0.125 0.501
Mo2 0.375 0.874 0.999
Mo3 0.624 0.625 0.499
Mo4 0.875 0.376 0.001

***

Version b
Density functional theory data (PBE) for a geometry-optimized HfScMo2 structure.

abc: 4.691 4.691 4.691
angles: 60.00 60.00 60.00
Sites, in units of the cell vectors:
Hf1 0.000 0.000 0.000
Sc1 0.500 0.500 0.500
Mo1 0.250 0.250 0.250
Mo2 0.750 0.750 0.750

***

Stability ranking, top entry: version b; the second entry is 512 meV/atom less favorable.

***

Version a
Density functional theory data (PBE) for a geometry-optimized HfScMo structure.

abc: 5.775 5.775 5.775
angles: 145.59 145.59 49.46
Sites, in units of the cell vectors:
Hf1 0.000 0.000 0.000
Sc1 0.711 0.711 0.000
Mo1 0.371 0.371 0.000

***

Version b
Density functional theory data (PBE) for a geometry-optimized HfScMo structure.

abc: 5.655 5.655 5.969
angles: 120.47 120.47 49.78
Sites, in units of the cell vectors:
Hf1 0.041 0.041 0.291
Hf2 0.959 0.959 0.709
Sc1 0.324 0.324 0.908
Sc2 0.676 0.676 0.092
Mo1 0.361 0.361 0.437
Mo2 0.639 0.639 0.563

***

Stability ranking, top entry: version b; the second entry is 41 meV/atom less favorable.

***

Version a
Density functional theory data (PBE) for a geometry-optimized HfMoSe structure.

abc: 5.323 5.323 7.048
angles: 110.46 110.46 37.15
Sites, in units of the cell vectors:
Hf1 0.111 0.111 0.261
Hf2 0.889 0.889 0.739
Mo1 0.369 0.369 0.065
Mo2 0.631 0.631 0.935
Se1 0.157 0.157 0.674
Se2 0.843 0.843 0.326

***

Version b
Density functional theory data (PBE) for a geometry-optimized HfMoSe structure.

abc: 3.232 4.603 7.220
angles: 90.00 90.00 90.00
Sites, in units of the cell vectors:
Hf1 0.250 0.250 0.179
Hf2 0.750 0.750 0.821
Mo1 0.250 0.750 0.470
Mo2 0.750 0.250 0.530
Se1 0.250 0.250 0.801
Se2 0.750 0.750 0.199

***

Version c
Density functional theory data (PBE) for a geometry-optimized HfMoSe structure.

abc: 4.488 4.488 4.488
angles: 60.00 60.00 60.00
Sites, in units of the cell vectors:
Hf1 0.000 0.000 0.000
Mo1 0.250 0.250 0.250
Se1 0.750 0.750 0.750

***

Stability ranking, top entry: version a; the second entry is 70 meV/atom less favorable.

***

Version a
Density functional theory data (PBE) for a geometry-optimized HfSn2Mo structure.

abc: 10.741 10.741 10.741
angles: 157.78 157.78 31.63
Sites, in units of the cell vectors:
Hf1 0.000 0.000 0.000
Hf2 0.750 0.250 0.500
Sn1 0.128 0.625 0.003
Sn2 0.375 0.378 0.503
Sn3 0.622 0.125 0.997
Sn4 0.875 0.872 0.497
Mo1 0.250 0.750 0.500
Mo2 0.500 0.500 0.000

***

Version b
Density functional theory data (PBE) for a geometry-optimized HfSn2Mo structure.

abc: 4.833 4.833 4.833
angles: 60.00 60.00 60.00
Sites, in units of the cell vectors:
Hf1 0.000 0.000 0.000
Sn1 0.250 0.250 0.250
Sn2 0.750 0.750 0.750
Mo1 0.500 0.500 0.500

***

Version c
Density functional theory data (PBE) for a geometry-optimized HfSn2Mo structure.

abc: 9.471 9.471 9.471
angles: 19.52 19.52 19.52
Sites, in units of the cell vectors:
Hf1 0.000 0.000 0.000
Sn1 0.244 0.244 0.244
Sn2 0.756 0.756 0.756
Mo1 0.500 0.500 0.500

***

Stability ranking, top entry: version b; the second entry is 53 meV/atom less favorable.